! NaBi2MoO8, optimized geometry, DFT PBE with a Hubbard U; values from VASP
&SYSTEM
  ibrav = 0, nat = 12, ntyp = 4
/
ATOMIC_SPECIES
Na 22.99 Na.upf
Bi 208.98 Bi.upf
Mo 95.94 Mo.upf
O 16.00 O.upf
CELL_PARAMETERS angstrom
-0.0474 -4.2781 2.5816
4.8372 0.5027 1.1221
-1.6579 3.4093 5.6192
ATOMIC_POSITIONS crystal
Na 0.0000 0.0000 0.5000
Bi 0.5000 0.5000 0.7472
Bi 0.5000 0.5000 0.2528
Mo 0.0000 0.0000 0.0000
O 0.1854 0.8130 0.2060
O 0.7101 0.7119 0.0000
O 0.8146 0.1870 0.2060
O 0.8146 0.1870 0.7940
O 0.2899 0.2881 0.0000
O 0.1854 0.8130 0.7940
O 0.6872 0.6893 0.5000
O 0.3128 0.3107 0.5000
! VASP energy: -5.834 eV/atom
! Fermi-level density of states: 2.26 states/eV/f.u.